Entry 1:
First-principles (GGA-PBE) data for a geometry-optimized NdTmMg structure, as listed in Alexandria via LeMat-Bulk.

abc: 5.4753 5.4753 3.4226
angles: 90.00 90.00 120.00
Closest atoms and distances in Å follow each position.
Fractional positions:
Nd 0.0000 0.0000 0.0000  3 Mg 3.35, 2 Nd 3.42, 6 Tm 3.49-3.71
Tm 0.3333 0.6667 0.5662  3 Mg 3.27, 2 Tm 3.42, 3 Nd 3.49
Mg 0.6667 0.3333 0.3214  3 Tm 3.27, 3 Nd 3.35, 2 Mg 3.42

Calculated values
size of the total moment: 0.000 μB per cell
space group: P3m1
DFT formation energy: 0.0473 eV/atom
E_tot: -3.564 eV/atom
polymorph energy (0 for the lowest one): 2.10 kcal/mol of atoms

=====

Entry 2:
First-principles (GGA-PBE) data for a geometry-optimized Nd4Tm2Mg structure, as listed in Alexandria via LeMat-Bulk.

abc: 8.6404 8.6404 8.7034
angles: 116.54 116.54 23.49
Closest atoms and distances in Å follow each position.
Fractional positions:
Nd 0.0829 0.0829 0.2053  5 Nd 3.39-3.63, 3 Tm 3.41-3.47, 1 Mg 3.44
Nd 0.3643 0.3643 0.1016  8 Nd 3.52-3.87, 3 Tm 3.61-3.63, 2 Mg 3.62
Nd 0.6357 0.6357 0.8984  8 Nd 3.52-3.87, 3 Tm 3.61-3.63, 2 Mg 3.62
Nd 0.9171 0.9171 0.7947  5 Nd 3.39-3.63, 3 Tm 3.41-3.47, 1 Mg 3.44
Tm 0.2190 0.2190 0.6396  1 Mg 3.33, 6 Nd 3.41-3.63, 4 Tm 3.52
Tm 0.7810 0.7810 0.3604  1 Mg 3.33, 6 Nd 3.41-3.63, 4 Tm 3.52
Mg 0.0000 0.0000 0.5000  2 Tm 3.33, 6 Nd 3.44-3.62, 2 Mg 3.52

Calculated values
size of the total moment: 0.000 μB per cell
space group: C2/m
DFT formation energy: 0.0847 eV/atom
E_tot: -4.145 eV/atom
polymorph energy (0 for the lowest one): 0.00 kcal/mol of atoms

=====

Entry 3:
First-principles (GGA-PBE) data for a geometry-optimized Nd15Tm2Mg2 structure, as listed in Alexandria via LeMat-Bulk.

abc: 8.8145 8.8145 8.8145
angles: 79.70 79.70 79.70
Closest atoms and distances in Å follow each position.
Fractional positions:
Nd 0.0000 0.0000 0.5000  8 Nd 3.40-3.42, 2 Mg 3.52
Nd 0.0000 0.2968 0.7032  6 Nd 3.35-3.42, 2 Mg 3.74
Nd 0.0000 0.5000 0.0000  8 Nd 3.40-3.42, 2 Mg 3.52
Nd 0.0000 0.7032 0.2968  6 Nd 3.35-3.42, 2 Mg 3.74
Nd 0.1583 0.6282 0.6282  6 Nd 3.23-3.40
Nd 0.2968 0.0000 0.7032  6 Nd 3.35-3.42, 2 Mg 3.74
Nd 0.2968 0.7032 0.0000  6 Nd 3.35-3.42, 2 Mg 3.74
Nd 0.3718 0.3718 0.8417  6 Nd 3.23-3.40
Nd 0.3718 0.8417 0.3718  6 Nd 3.23-3.40
Nd 0.5000 0.0000 0.0000  8 Nd 3.40-3.42, 2 Mg 3.52
Nd 0.6282 0.1583 0.6282  6 Nd 3.23-3.40
Nd 0.6282 0.6282 0.1583  6 Nd 3.23-3.40
Nd 0.7032 0.0000 0.2968  6 Nd 3.35-3.42, 2 Mg 3.74
Nd 0.7032 0.2968 0.0000  6 Nd 3.35-3.42, 2 Mg 3.74
Nd 0.8417 0.3718 0.3718  6 Nd 3.23-3.40
Tm 0.3136 0.3136 0.3136  1 Mg 3.93, 15 Nd 4.00-4.18
Tm 0.6864 0.6864 0.6864  1 Mg 3.93, 15 Nd 4.00-4.18
Mg 0.0926 0.0926 0.0926  1 Mg 3.29, 3 Nd 3.52
Mg 0.9074 0.9074 0.9074  1 Mg 3.29, 3 Nd 3.52

Calculated values
size of the total moment: 0.000 μB per cell
space group: R-3m
DFT formation energy: 0.2339 eV/atom
E_tot: -4.169 eV/atom

=====

Entry 4:
First-principles (GGA-PBE) data for a geometry-optimized Nd2TmMg2 structure, as listed in Alexandria via LeMat-Bulk.

abc: 6.0267 6.0267 6.0267
angles: 128.49 108.98 93.00
Closest atoms and distances in Å follow each position.
Fractional positions:
Nd 0.1947 0.1947 0.0000  1 Nd 3.23, 6 Mg 3.24-3.41
Nd 0.8053 0.8053 0.0000  1 Nd 3.23, 6 Mg 3.24-3.41
Tm 0.5000 0.0000 0.5000  4 Mg 3.31, 4 Nd 3.64
Mg 0.2106 0.5000 0.7106  1 Mg 2.95, 2 Nd 3.24
Mg 0.7894 0.5000 0.2894  1 Mg 2.95, 2 Nd 3.24

Calculated values
size of the total moment: 0.000 μB per cell
space group: Immm
DFT formation energy: 0.0391 eV/atom
E_tot: -3.400 eV/atom
polymorph energy (0 for the lowest one): 2.24 kcal/mol of atoms

=====

Entry 5:
First-principles (GGA-PBE) data for a geometry-optimized Nd5Tm4Mg2 structure, as listed in Alexandria via LeMat-Bulk.

abc: 9.0288 21.2617 3.6142
angles: 90.00 90.00 90.00
Closest atoms and distances in Å follow each position.
Fractional positions:
Nd 0.0000 0.0000 0.0000  8 Tm 3.53-3.70, 4 Nd 3.61-3.62
Nd 0.1289 0.4361 0.0000  2 Mg 3.32, 4 Nd 3.58-3.62, 4 Tm 3.58-3.62
Nd 0.2450 0.2170 0.0000  4 Mg 3.25-3.29, 2 Tm 3.51, 2 Nd 3.61
Nd 0.2550 0.7170 0.0000  4 Mg 3.25-3.29, 2 Tm 3.51, 2 Nd 3.61
Nd 0.3711 0.9361 0.0000  2 Mg 3.32, 4 Nd 3.58-3.62, 4 Tm 3.58-3.62
Nd 0.5000 0.5000 0.0000  8 Tm 3.53-3.70, 4 Nd 3.61-3.62
Nd 0.6289 0.0639 0.0000  2 Mg 3.32, 4 Nd 3.58-3.62, 4 Tm 3.58-3.62
Nd 0.7450 0.2830 0.0000  4 Mg 3.25-3.29, 2 Tm 3.51, 2 Nd 3.61
Nd 0.7550 0.7830 0.0000  4 Mg 3.25-3.29, 2 Tm 3.51, 2 Nd 3.61
Nd 0.8711 0.5639 0.0000  2 Mg 3.32, 4 Nd 3.58-3.62, 4 Tm 3.58-3.62
Tm 0.0712 0.8512 0.5000  3 Tm 3.55-3.61, 2 Mg 3.58-3.60, 8 Nd 3.68-3.76
Tm 0.2172 0.5767 0.5000  1 Mg 3.35, 8 Nd 3.51-3.62, 3 Tm 3.55-3.61
Tm 0.2828 0.0767 0.5000  1 Mg 3.35, 8 Nd 3.51-3.62, 3 Tm 3.55-3.61
Tm 0.4288 0.3512 0.5000  3 Tm 3.55-3.61, 2 Mg 3.58-3.60, 8 Nd 3.68-3.76
Tm 0.5712 0.6488 0.5000  3 Tm 3.55-3.61, 2 Mg 3.58-3.60, 8 Nd 3.68-3.76
Tm 0.7172 0.9233 0.5000  1 Mg 3.35, 8 Nd 3.51-3.62, 3 Tm 3.55-3.61
Tm 0.7828 0.4233 0.5000  1 Mg 3.35, 8 Nd 3.51-3.62, 3 Tm 3.55-3.61
Tm 0.9288 0.1488 0.5000  3 Tm 3.55-3.61, 2 Mg 3.58-3.60, 8 Nd 3.68-3.76
Mg 0.0422 0.3104 0.5000  6 Nd 3.25-3.32, 3 Tm 3.35-3.60, 2 Mg 3.61
Mg 0.4578 0.8104 0.5000  6 Nd 3.25-3.32, 3 Tm 3.35-3.60, 2 Mg 3.61
Mg 0.5422 0.1896 0.5000  6 Nd 3.25-3.32, 3 Tm 3.35-3.60, 2 Mg 3.61
Mg 0.9578 0.6896 0.5000  6 Nd 3.25-3.32, 3 Tm 3.35-3.60, 2 Mg 3.61

Calculated values
size of the total moment: 0.000 μB per cell
space group: Pbam
DFT formation energy: 0.0175 eV/atom
E_tot: -4.066 eV/atom

=====

Entry 6:
First-principles (GGA-PBE) data for a geometry-optimized NdTm7Mg4 structure, as listed in Alexandria via LeMat-Bulk.

abc: 7.2737 7.2737 11.2537
angles: 120.39 120.39 45.83
Closest atoms and distances in Å follow each position.
Fractional positions:
Nd 0.0000 0.0000 0.0000  2 Tm 2.83
Tm 0.0557 0.0557 0.3848  3 Mg 3.14-3.30, 1 Tm 3.24
Tm 0.2204 0.2204 0.8822  2 Tm 3.21-3.24, 4 Mg 3.24-3.32
Tm 0.3305 0.3305 0.3927  4 Mg 2.99-3.27
Tm 0.5000 0.5000 0.0000  2 Nd 2.83, 2 Mg 3.01
Tm 0.6695 0.6695 0.6073  4 Mg 2.99-3.27
Tm 0.7796 0.7796 0.1178  2 Tm 3.21-3.24, 4 Mg 3.24-3.32
Tm 0.9443 0.9443 0.6152  3 Mg 3.14-3.30, 1 Tm 3.24
Mg 0.3112 0.3112 0.6661  1 Mg 2.90, 3 Tm 3.14-3.23
Mg 0.4346 0.4346 0.2163  1 Mg 2.90, 3 Tm 2.99-3.24
Mg 0.5654 0.5654 0.7837  1 Mg 2.90, 3 Tm 2.99-3.24
Mg 0.6888 0.6888 0.3339  1 Mg 2.90, 3 Tm 3.14-3.23

Calculated values
size of the total moment: 0.000 μB per cell
space group: C2/m
DFT formation energy: 0.2442 eV/atom
E_tot: -3.293 eV/atom

=====

Entry 7:
First-principles (GGA-PBE) data for a geometry-optimized Nd7Tm3Mg structure, as listed in Alexandria via LeMat-Bulk.

abc: 7.1150 7.1150 8.6379
angles: 90.00 90.00 120.00
Closest atoms and distances in Å follow each position.
Fractional positions:
Nd 0.0000 0.0000 0.0000  3 Tm 3.53, 9 Nd 3.55-3.56
Nd 0.1644 0.3289 0.6625  2 Tm 3.50, 7 Nd 3.51-3.61, 2 Mg 3.56
Nd 0.1644 0.8356 0.6625  2 Tm 3.50, 7 Nd 3.51-3.61, 2 Mg 3.56
Nd 0.5004 0.0008 0.0044  2 Tm 3.51, 8 Nd 3.55-3.61, 1 Mg 3.59
Nd 0.5004 0.4996 0.0044  2 Tm 3.51, 8 Nd 3.55-3.61, 1 Mg 3.59
Nd 0.6711 0.8356 0.6625  2 Tm 3.50, 7 Nd 3.51-3.61, 2 Mg 3.56
Nd 0.9992 0.4996 0.0044  2 Tm 3.51, 8 Nd 3.55-3.61, 1 Mg 3.59
Tm 0.3319 0.1660 0.3333  5 Nd 3.50-3.53, 1 Mg 3.51, 4 Tm 3.54-3.57
Tm 0.8340 0.1660 0.3333  5 Nd 3.50-3.53, 1 Mg 3.51, 4 Tm 3.54-3.57
Tm 0.8340 0.6681 0.3333  5 Nd 3.50-3.53, 1 Mg 3.51, 4 Tm 3.54-3.57
Mg 0.6667 0.3333 0.6627  3 Tm 3.51, 9 Nd 3.56-3.59

Calculated values
size of the total moment: 0.000 μB per cell
space group: P3m1
DFT formation energy: 0.1819 eV/atom
E_tot: -4.217 eV/atom

=====

Entry 8:
First-principles (GGA-PBE) data for a geometry-optimized NdTm2Mg structure, as listed in Alexandria via LeMat-Bulk.

abc: 11.2928 11.2928 11.2928
angles: 17.98 17.98 17.98
Closest atoms and distances in Å follow each position.
Fractional positions:
Nd 0.0000 0.0000 0.0000  6 Nd 3.53, 6 Tm 3.56
Tm 0.2457 0.2457 0.2457  3 Mg 3.33, 6 Tm 3.53, 3 Nd 3.56
Tm 0.7543 0.7543 0.7543  3 Mg 3.33, 6 Tm 3.53, 3 Nd 3.56
Mg 0.5000 0.5000 0.5000  6 Tm 3.33, 6 Mg 3.53

Calculated values
size of the total moment: 0.000 μB per cell
space group: R-3m
DFT formation energy: 0.0182 eV/atom
E_tot: -3.808 eV/atom
polymorph energy (0 for the lowest one): 1.01 kcal/mol of atoms

=====

Entry 9:
First-principles (GGA-PBE) data for a geometry-optimized Nd6Y3Tm2Mg structure, as listed in Alexandria via LeMat-Bulk.

abc: 6.2501 6.2501 11.7682
angles: 95.10 95.10 120.02
Closest atoms and distances in Å follow each position.
Fractional positions:
Nd 0.0851 0.4184 0.7540  1 Mg 3.53, 2 Tm 3.53, 3 Y 3.60, 6 Nd 3.61
Nd 0.2483 0.2483 0.2471  2 Tm 3.54, 1 Mg 3.54, 3 Y 3.59, 6 Nd 3.61
Nd 0.4184 0.0851 0.7540  1 Mg 3.53, 2 Tm 3.53, 3 Y 3.60, 6 Nd 3.61
Nd 0.5816 0.9149 0.2460  1 Mg 3.53, 2 Tm 3.53, 3 Y 3.60, 6 Nd 3.61
Nd 0.7517 0.7517 0.7529  2 Tm 3.54, 1 Mg 3.54, 3 Y 3.59, 6 Nd 3.61
Nd 0.9149 0.5816 0.2460  1 Mg 3.53, 2 Tm 3.53, 3 Y 3.60, 6 Nd 3.61
Y 0.0000 0.0000 0.5000  6 Nd 3.59-3.60, 6 Y 3.61
Y 0.3334 0.6666 0.5000  6 Nd 3.59-3.60, 6 Y 3.61
Y 0.6666 0.3334 0.5000  6 Nd 3.59-3.60, 6 Y 3.61
Tm 0.1665 0.8335 0.0000  6 Nd 3.53-3.54, 3 Tm 3.60-3.61, 3 Mg 3.61
Tm 0.8335 0.1665 0.0000  6 Nd 3.53-3.54, 3 Tm 3.60-3.61, 3 Mg 3.61
Mg 0.5000 0.5000 0.0000  6 Nd 3.53-3.54, 6 Tm 3.61

Calculated values
size of the total moment: 0.000 μB per cell
space group: C2/m
DFT formation energy: 0.0246 eV/atom
E_tot: -4.853 eV/atom

=====

Entry 10:
First-principles (GGA-PBE) data for a geometry-optimized NdTmMgZn structure, as listed in Alexandria via LeMat-Bulk.

abc: 5.2386 5.2386 5.2386
angles: 60.00 60.00 60.00
Closest atoms and distances in Å follow each position.
Fractional positions:
Nd 0.0000 0.0000 0.0000  4 Zn 3.21, 4 Mg 3.21
Tm 0.5000 0.5000 0.5000  4 Zn 3.21, 4 Mg 3.21
Mg 0.2500 0.2500 0.2500  4 Nd 3.21, 4 Tm 3.21
Zn 0.7500 0.7500 0.7500  4 Tm 3.21, 4 Nd 3.21

Calculated values
size of the total moment: 0.000 μB per cell
space group: F-43m
DFT formation energy: -0.1691 eV/atom
E_tot: -3.196 eV/atom
polymorph energy (0 for the lowest one): 0.79 kcal/mol of atoms

=====

Entry 11:
First-principles (GGA-PBE) data for a geometry-optimized NdTmMgZn structure, as listed in Alexandria via LeMat-Bulk.

abc: 3.6085 3.6085 7.8907
angles: 90.00 90.00 90.00
Closest atoms and distances in Å follow each position.
Fractional positions:
Nd 0.0000 0.0000 0.0000  4 Zn 3.21, 4 Mg 3.43, 1 Tm 3.52
Tm 0.0000 0.0000 0.4467  4 Zn 3.00, 4 Mg 3.29
Mg 0.5000 0.5000 0.7094  4 Tm 3.29, 4 Nd 3.43, 4 Mg 3.61, 1 Zn 3.65
Zn 0.5000 0.5000 0.2466  4 Tm 3.00, 4 Nd 3.21

Calculated values
size of the total moment: 0.000 μB per cell
space group: P4mm
DFT formation energy: -0.2034 eV/atom
E_tot: -3.230 eV/atom
polymorph energy (0 for the lowest one): 0.00 kcal/mol of atoms